Record 1
First-principles (GGA-PBE) data for a relaxed Rb2UTaN4 crystal, as listed in the Alexandria database.

Lattice parameters (Å, degrees): 5.807 3.381 6.980 90.00 105.80 90.00
Space group P2/m (No. 10)
One atom of each set of equivalent atoms:
Rb1 0.000 0.000 0.000 x1
Rb2 0.500 0.500 0.000 x1
U1 0.000 0.500 0.500 x1
Ta1 0.500 0.000 0.500 x1
N1 0.235 0.000 0.658 x2
N2 0.288 0.500 0.344 x2

Calculated values
M_tot ... 0.85 μB per cell
VASP energy ... -64.8 eV for the cell shown

Record 2
First-principles (GGA-PBE) data for a relaxed AcB3Os2 crystal, as listed in the Alexandria database.

Lattice parameters (Å, degrees): 5.249 10.243 6.267 90.00 90.00 90.00
Space group Imma (No. 74)
One atom of each set of equivalent atoms:
Ac1 0.000 0.250 0.125 x4
B1 0.172 0.000 0.000 x8
B2 0.250 0.250 0.750 x4
Os1 0.000 0.085 0.684 x8

Calculated values
M_tot ... 0.00 μB per cell
VASP energy ... -184.2 eV for the cell shown
Formation energy ... 0.09 eV per atom

Record 3
First-principles (GGA-PBE) data for a relaxed MgCoH4 crystal, as listed in the Alexandria database.

Lattice parameters (Å, degrees): 8.771 4.589 4.430 90.00 92.08 90.00
Space group C2/m (No. 12)
One atom of each set of equivalent atoms:
Mg1 0.236 0.000 0.247 x4
Co1 0.074 0.500 0.253 x4
H1 0.000 0.265 0.000 x4
H2 0.100 0.272 0.500 x8
H3 0.245 0.500 0.193 x4

Calculated values
Polymorph energy (0 for the lowest one) ... 10 meV/atom
M_tot ... 0.02 μB per cell
VASP energy ... -90.8 eV for the cell shown

Record 4
First-principles (GGA-PBE) data for a relaxed AcNiHg2 crystal, as listed in the Alexandria database.

Lattice parameters (Å, degrees): 4.5895 4.5895 16.7176 90.00 90.00 120.00
Space group R-3m (No. 166, hexagonal axes)
One atom of each set of equivalent atoms:
Ac1 0.0000 0.0000 0.0000 x3
Ni1 0.0000 0.0000 0.5000 x3
Hg1 0.0000 0.0000 0.2132 x6

Calculated values
M_tot ... 0.00 μB per cell
VASP energy ... -33.5 eV for the cell shown
Formation energy ... -0.17 eV per atom

Record 5
First-principles (GGA-PBE) data for a relaxed BaLiZr2C crystal, as listed in the Alexandria database.

Lattice parameters (Å, degrees): 4.650 4.650 5.339 90.00 90.00 90.00
Space group P4/mmm (No. 123)
One atom of each set of equivalent atoms:
Ba1 0.000 0.000 0.000 x1
Li1 0.500 0.500 0.000 x1
Zr1 0.000 0.500 0.500 x2
C1 0.500 0.500 0.500 x1

Calculated values
M_tot ... 0.00 μB per cell
VASP energy ... -28.3 eV for the cell shown
Formation energy ... 0.38 eV per atom

Record 6
First-principles (GGA-PBE) data for a relaxed Ac12AgOs6 crystal, as listed in the Alexandria database.

Lattice parameters (Å, degrees): 15.3621 15.3621 9.3059 90.00 90.00 120.00
Space group R-3 (No. 148, hexagonal axes)
One atom of each set of equivalent atoms:
Ac1 0.0244 0.8564 0.1660 x18
Ac2 0.0362 0.7689 0.5677 x18
Ag1 0.0000 0.0000 0.5000 x3
Os1 0.0194 0.5654 0.5915 x18

Calculated values
M_tot ... 0.00 μB per cell
VASP energy ... -358.1 eV for the cell shown
Formation energy ... 0.01 eV per atom

Record 7
First-principles (GGA-PBE) data for a relaxed AlVFeCu crystal, as listed in the Alexandria database.

Lattice parameters (Å, degrees): 5.842 5.842 5.842 90.00 90.00 90.00
Space group F-43m (No. 216)
One atom of each set of equivalent atoms:
Al1 0.000 0.000 0.000 x4
V1 0.000 0.000 0.500 x4
Fe1 0.250 0.250 0.250 x4
Cu1 0.250 0.250 0.750 x4

Calculated values
M_tot ... 3.00 μB per cell
VASP energy ... -104.4 eV for the cell shown
Formation energy ... -0.17 eV per atom

Record 8
First-principles (GGA-PBE) data for a relaxed LiInAg4 crystal, as listed in the Alexandria database.

Lattice parameters (Å, degrees): 12.517 7.368 5.018 90.00 105.98 90.00
Space group C2/m (No. 12)
One atom of each set of equivalent atoms:
Li1 0.051 0.000 0.249 x4
In1 0.209 0.500 0.633 x4
Ag1 0.000 0.296 0.500 x4
Ag2 0.122 0.307 0.079 x8
Ag3 0.165 0.000 0.777 x4

Calculated values
Polymorph energy (0 for the lowest one) ... 82 meV/atom
M_tot ... 0.00 μB per cell
VASP energy ... -65.1 eV for the cell shown
Formation energy ... -0.04 eV per atom

- The highest M_tot belongs to which entry?
  AlVFeCu

- What is the formula in the second record?
  AcB3Os2